1.
Below is a PBEsol-optimized structure of CuNi4, with properties calculated at the SCAN level.

Unit cell a=3.4700 b=4.2597 c=4.2597 alpha=80.45 beta=65.96 gamma=65.96
Last column: magnetic moment on the atom in μB.
Fractional coordinates of all 5 atoms:
1 Ni 0.3999 0.7982 0.4021  0.74
2 Ni 0.8019 0.5979 0.7982  0.74
3 Ni 0.1981 0.4021 0.2018  0.74
4 Ni 0.6001 0.2018 0.5979  0.74
5 Cu 0.0000 0.0000 0.0000  0.01

Calculated formation energy, eV per atom: 0.04
DFT total energy, eV/f.u.: -79.71

2.
Below is a PBEsol-optimized structure of Cu2Ni, with properties calculated at the SCAN level.

Unit cell a=2.4828 b=4.7939 c=5.9147 alpha=105.18 beta=90.00 gamma=105.01
Fractional coordinates of all 6 atoms:
1 Cu 0.6404 0.2807 0.0292
2 Cu 0.0264 0.0527 0.3067
3 Cu 0.9736 0.9473 0.6933
4 Cu 0.3597 0.7193 0.9708
5 Ni 0.6960 0.3919 0.6347
6 Ni 0.3040 0.6081 0.3653

Calculated formation energy, eV per atom: 0.05
DFT total energy, eV/f.u.: -46.41

3.
Below is a PBEsol-optimized structure of CuNi5, with properties calculated at the SCAN level.

Unit cell a=2.4474 b=4.7206 c=5.8673 alpha=105.09 beta=90.00 gamma=105.02
Last column: magnetic moment on the atom in μB.
Fractional coordinates of all 6 atoms:
1 Ni 0.3319 0.6639 0.6644  0.84
2 Ni 0.3871 0.7743 0.2802  0.75
3 Ni 0.7239 0.4478 0.9441  0.74
4 Ni 0.0558 0.1117 0.6093  0.77
5 Ni 0.6674 0.3348 0.3355  0.78
6 Cu 0.0004 0.0009 0.9999  0.00

Calculated formation energy, eV per atom: 0.06
DFT total energy, eV/f.u.: -95.69
Energy relative to the lowest polymorph listed for this composition, meV/atom: 37.3

4.
Below is a PBEsol-optimized structure of Cu3Ni4, with properties calculated at the SCAN level.

Unit cell a=2.8383 b=2.8383 c=9.5663 alpha=98.53 beta=98.53 gamma=90.00
Last column: magnetic moment on the atom in μB.
Fractional coordinates of all 7 atoms:
1 Cu 0.2867 0.2867 0.5734  0.01
2 Cu 0.0000 0.0000 0.0000  0.03
3 Cu 0.7133 0.7133 0.4266  0.01
4 Ni 0.8598 0.8598 0.7196  0.63
5 Ni 0.1402 0.1402 0.2804  0.63
6 Ni 0.4278 0.4278 0.8555  0.64
7 Ni 0.5722 0.5722 0.1445  0.64

Calculated formation energy, eV per atom: 0.11
DFT total energy, eV/f.u.: -109.53